1.
Computed, not measured: Li7Hg3Pd after structural relaxation at the GGA-PBE level of DFT.

Properties
VASP energy	-2.06	eV/atom
DOS(E_F)	0.394	states/eV/atom
energy of formation from the pure elements	-0.285	eV per atom

a = 11.0244 Å, b = 11.0244 Å, c = 11.8967 Å
α = 90.00°, β = 90.00°, γ = 163.68°
With the nearest neighbours (Å) after each atom.
Atoms (fractional coordinates):
Li: 0.0500 0.9500 0.6337  2 Pd 2.64, 3 Li 2.77-2.93, 2 Hg 2.85
Li: 0.0500 0.9500 0.8663  2 Pd 2.64, 3 Li 2.77-2.93, 2 Hg 2.85
Li: 0.0815 0.9185 0.1055  2 Pd 2.64, 4 Hg 2.86-2.89, 2 Li 2.89-2.93
Li: 0.0815 0.9185 0.3945  2 Pd 2.64, 4 Hg 2.86-2.89, 2 Li 2.89-2.93
Li: 0.1826 0.8174 0.7500  4 Hg 2.89, 8 Li 3.13-3.21
Li: 0.2240 0.7760 0.0988  5 Hg 2.79-2.90, 3 Li 3.04-3.11
Li: 0.2240 0.7760 0.4012  5 Hg 2.79-2.90, 3 Li 3.04-3.11
Li: 0.7760 0.2240 0.5988  5 Hg 2.79-2.90, 3 Li 3.04-3.11
Li: 0.7760 0.2240 0.9012  5 Hg 2.79-2.90, 3 Li 3.04-3.11
Li: 0.8174 0.1826 0.2500  4 Hg 2.89, 8 Li 3.13-3.21
Li: 0.9185 0.0815 0.6055  2 Pd 2.64, 4 Hg 2.86-2.89, 2 Li 2.89-2.93
Li: 0.9185 0.0815 0.8945  2 Pd 2.64, 4 Hg 2.86-2.89, 2 Li 2.89-2.93
Li: 0.9500 0.0500 0.1337  2 Pd 2.64, 3 Li 2.77-2.93, 2 Hg 2.85
Li: 0.9500 0.0500 0.3663  2 Pd 2.64, 3 Li 2.77-2.93, 2 Hg 2.85
Hg: 0.3419 0.6581 0.7500  8 Li 2.79-2.86, 1 Pd 2.92
Hg: 0.3500 0.6500 0.0550  9 Li 2.80-2.90, 2 Hg 3.13
Hg: 0.3500 0.6500 0.4450  9 Li 2.80-2.90, 2 Hg 3.13
Hg: 0.6500 0.3500 0.5550  9 Li 2.80-2.90, 2 Hg 3.13
Hg: 0.6500 0.3500 0.9450  9 Li 2.80-2.90, 2 Hg 3.13
Hg: 0.6581 0.3419 0.2500  8 Li 2.79-2.86, 1 Pd 2.92
Pd: 0.4758 0.5242 0.7500  8 Li 2.64, 1 Hg 2.92
Pd: 0.5242 0.4758 0.2500  8 Li 2.64, 1 Hg 2.92

2.
Computed, not measured: Nd2TmTl after structural relaxation at the GGA-PBE level of DFT.

Properties
VASP energy	-4.17	eV/atom
polymorph energy (0 for the lowest one)	117.5	meV per atom
DOS(E_F)	1.600	states/eV/atom
energy of formation from the pure elements	-0.073	eV per atom

a = 5.5701 Å, b = 5.5701 Å, c = 5.5701 Å
α = 60.00°, β = 60.00°, γ = 60.00°
With the nearest neighbours (Å) after each atom.
Atoms (fractional coordinates):
Nd: 0.2500 0.2500 0.2500  4 Tl 3.41, 4 Tm 3.41
Nd: 0.7500 0.7500 0.7500  4 Tl 3.41, 4 Tm 3.41
Tm: 0.0000 0.0000 0.0000  8 Nd 3.41
Tl: 0.5000 0.5000 0.5000  8 Nd 3.41

3.
Computed, not measured: HS6F after structural relaxation at the GGA-PBE level of DFT.

Properties
VASP energy	-3.57	eV/atom
DOS(E_F)	0.434	states/eV/atom

a = 8.8336 Å, b = 8.8336 Å, c = 2.8893 Å
α = 91.03°, β = 91.03°, γ = 125.13°
With the nearest neighbours (Å) after each atom.
Atoms (fractional coordinates):
H: 0.0000 0.0000 0.0000  2 F 1.44
S: 0.0495 0.6047 0.7571  2 S 2.10-2.11
S: 0.3953 0.9505 0.2429  2 S 2.10-2.11
S: 0.4092 0.4092 0.2400  2 S 2.07
S: 0.5908 0.5908 0.7600  2 S 2.07
S: 0.6047 0.0495 0.7571  2 S 2.10-2.11
S: 0.9505 0.3953 0.2429  2 S 2.10-2.11
F: 0.0000 0.0000 0.5000  2 H 1.44

4.
Computed, not measured: ReSi after structural relaxation at the GGA-PBE level of DFT.

Properties
formation energy from raw total energies	-0.109	eV per atom
VASP energy	-9.05	eV/atom
DOS(E_F)	0.698	states/eV/atom

a = 4.6076 Å, b = 4.6076 Å, c = 4.0781 Å
α = 90.00°, β = 90.00°, γ = 140.31°
With the nearest neighbours (Å) after each atom.
Atoms (fractional coordinates):
Re: 0.1325 0.8675 0.7500  7 Si 2.42-2.60
Re: 0.8675 0.1325 0.2500  7 Si 2.42-2.60
Si: 0.4111 0.5889 0.7500  7 Re 2.42-2.60, 2 Si 2.56
Si: 0.5889 0.4111 0.2500  7 Re 2.42-2.60, 2 Si 2.56

5.
Computed, not measured: SiRh2W after structural relaxation at the GGA-PBE level of DFT.

Properties
formation energy from raw total energies	0.465	eV per atom
VASP energy	-7.80	eV/atom
DOS(E_F)	0.839	states/eV/atom

a = 6.6934 Å, b = 6.6934 Å, c = 6.6934 Å
α = 131.86°, β = 131.86°, γ = 70.46°
With the nearest neighbours (Å) after each atom.
Atoms (fractional coordinates):
Si: 0.0000 0.0000 0.0000  4 Rh 2.30
Si: 0.7500 0.2500 0.5000  4 Rh 2.30
Rh: 0.1043 0.6250 0.9793  2 Si 2.30, 2 W 2.43
Rh: 0.3750 0.3543 0.4793  2 Si 2.30, 2 W 2.43
Rh: 0.6457 0.1250 0.0207  2 Si 2.30, 2 W 2.43
Rh: 0.8750 0.8957 0.5207  2 Si 2.30, 2 W 2.43
W: 0.2500 0.7500 0.5000  4 Rh 2.43
W: 0.5000 0.5000 0.0000  4 Rh 2.43

6.
Computed, not measured: PuTlAgS3 after structural relaxation at the GGA-PBE level of DFT.

Properties
formation energy from raw total energies	-0.843	eV per atom
VASP energy	-6.16	eV/atom
DOS(E_F)	1.502	states/eV/atom

a = 8.6512 Å, b = 4.0814 Å, c = 9.2131 Å
α = 90.00°, β = 105.53°, γ = 90.00°
With the nearest neighbours (Å) after each atom.
Atoms (fractional coordinates):
Pu: 0.1737 0.2500 0.1516  6 S 2.66-2.74
Pu: 0.8263 0.7500 0.8484  6 S 2.66-2.74
Tl: 0.2924 0.7500 0.7531  7 S 3.21-3.54
Tl: 0.7076 0.2500 0.2469  7 S 3.21-3.54
Ag: 0.4259 0.7500 0.3962  4 S 2.51-2.66
Ag: 0.5741 0.2500 0.6038  4 S 2.51-2.66
S: 0.0376 0.2500 0.8504  3 Pu 2.71-2.74
S: 0.2658 0.2500 0.4511  3 Ag 2.59-2.66, 1 Pu 2.66
S: 0.3650 0.7500 0.1137  1 Ag 2.51, 2 Pu 2.71
S: 0.6350 0.2500 0.8863  1 Ag 2.51, 2 Pu 2.71
S: 0.7342 0.7500 0.5489  3 Ag 2.59-2.66, 1 Pu 2.66
S: 0.9624 0.7500 0.1496  3 Pu 2.71-2.74

7.
Computed, not measured: AsOs after structural relaxation at the GGA-PBE level of DFT.

Properties
VASP energy	-7.60	eV/atom
DOS(E_F)	0.426	states/eV/atom
energy of formation from the pure elements	0.337	eV per atom

a = 11.4791 Å, b = 11.4791 Å, c = 2.9941 Å
α = 90.00°, β = 90.00°, γ = 90.00°
With the nearest neighbours (Å) after each atom.
Atoms (fractional coordinates):
As: 0.0767 0.6787 0.0000  4 Os 2.46-2.59
As: 0.2535 0.3785 0.5000  4 Os 2.41-2.56
As: 0.3213 0.0767 0.0000  4 Os 2.46-2.59
As: 0.3785 0.7465 0.5000  4 Os 2.41-2.56
As: 0.6215 0.2535 0.5000  4 Os 2.41-2.56
As: 0.6787 0.9233 0.0000  4 Os 2.46-2.59
As: 0.7465 0.6215 0.5000  4 Os 2.41-2.56
As: 0.9233 0.3213 0.0000  4 Os 2.46-2.59
Os: 0.1050 0.4557 0.0000  4 As 2.44-2.59, 3 Os 2.62-2.64
Os: 0.2277 0.6003 0.5000  4 As 2.41-2.56, 2 Os 2.64
Os: 0.3997 0.2277 0.5000  4 As 2.41-2.56, 2 Os 2.64
Os: 0.4557 0.8950 0.0000  4 As 2.44-2.59, 3 Os 2.62-2.64
Os: 0.5443 0.1050 0.0000  4 As 2.44-2.59, 3 Os 2.62-2.64
Os: 0.6003 0.7723 0.5000  4 As 2.41-2.56, 2 Os 2.64
Os: 0.7723 0.3997 0.5000  4 As 2.41-2.56, 2 Os 2.64
Os: 0.8950 0.5443 0.0000  4 As 2.44-2.59, 3 Os 2.62-2.64

8.
Computed, not measured: PmNd4Rh2 after structural relaxation at the GGA-PBE level of DFT.

Properties
VASP energy	-5.86	eV/atom
DOS(E_F)	1.193	states/eV/atom
energy of formation from the pure elements	-0.359	eV per atom

a = 8.0571 Å, b = 6.6244 Å, c = 8.1217 Å
α = 90.00°, β = 113.80°, γ = 90.00°
With the nearest neighbours (Å) after each atom.
Atoms (fractional coordinates):
Pm: 0.1528 0.2500 0.0287  2 Rh 2.83-3.08
Pm: 0.8472 0.7500 0.9713  2 Rh 2.83-3.08
Nd: 0.0155 0.2500 0.3810  2 Rh 2.77-2.88
Nd: 0.2533 0.7500 0.3402  2 Rh 2.79-2.92
Nd: 0.4115 0.0051 0.7669  4 Rh 3.15-3.26, 3 Nd 3.24-3.47
Nd: 0.4115 0.4949 0.7669  4 Rh 3.15-3.26, 3 Nd 3.24-3.47
Nd: 0.5885 0.5051 0.2331  4 Rh 3.15-3.26, 3 Nd 3.24-3.47
Nd: 0.5885 0.9949 0.2331  4 Rh 3.15-3.26, 3 Nd 3.24-3.47
Nd: 0.7467 0.2500 0.6598  2 Rh 2.79-2.92
Nd: 0.9845 0.7500 0.6190  2 Rh 2.77-2.88
Rh: 0.2366 0.7500 0.9907  2 Nd 2.79-2.88, 1 Pm 3.08
Rh: 0.3680 0.2500 0.4041  2 Nd 2.77-2.92, 1 Pm 2.83
Rh: 0.6320 0.7500 0.5959  2 Nd 2.77-2.92, 1 Pm 2.83
Rh: 0.7634 0.2500 0.0093  2 Nd 2.79-2.88, 1 Pm 3.08

9.
Computed, not measured: CaPtW after structural relaxation at the GGA-PBE level of DFT.

Properties
VASP energy	-6.67	eV/atom
DOS(E_F)	0.763	states/eV/atom
energy of formation from the pure elements	0.331	eV per atom

a = 4.7929 Å, b = 4.7929 Å, c = 2.8415 Å
α = 90.00°, β = 90.00°, γ = 120.00°
With the nearest neighbours (Å) after each atom.
Atoms (fractional coordinates):
Ca: 0.0000 0.0000 0.0000  2 Ca 2.84, 6 W 3.11, 6 Pt 3.11
Pt: 0.6667 0.3333 0.5000  3 W 2.77, 2 Pt 2.84
W: 0.3333 0.6667 0.5000  3 Pt 2.77, 2 W 2.84

10.
Computed, not measured: TcSnH3 after structural relaxation at the GGA-PBE level of DFT.

Properties
VASP energy	-4.56	eV/atom
polymorph energy (0 for the lowest one)	0.0	meV per atom
DOS(E_F)	0.502	states/eV/atom

a = 3.6458 Å, b = 3.6458 Å, c = 3.6458 Å
α = 90.00°, β = 90.00°, γ = 90.00°
With the nearest neighbours (Å) after each atom.
Atoms (fractional coordinates):
Tc: 0.0000 0.0000 0.0000  6 H 1.82
Sn: 0.5000 0.5000 0.5000  12 H 2.58
H: 0.0000 0.0000 0.5000  2 Tc 1.82
H: 0.0000 0.5000 0.0000  2 Tc 1.82
H: 0.5000 0.0000 0.0000  2 Tc 1.82

11.
Computed, not measured: ZrHgAsBr2 after structural relaxation at the GGA-PBE level of DFT.

Properties
formation energy from raw total energies	-0.458	eV per atom
VASP energy	-3.83	eV/atom
polymorph energy (0 for the lowest one)	0.0	meV per atom
DOS(E_F)	0.610	states/eV/atom

a = 5.3597 Å, b = 5.3597 Å, c = 5.3505 Å
α = 90.00°, β = 90.00°, γ = 90.00°
With the nearest neighbours (Å) after each atom.
Atoms (fractional coordinates):
Zr: 0.0000 0.0000 0.0000  2 As 2.68, 4 Br 2.68
Hg: 0.5000 0.5000 0.5000  8 Br 3.79, 4 As 3.79
As: 0.0000 0.0000 0.5000  2 Zr 2.68
Br: 0.0000 0.5000 0.0000  2 Zr 2.68
Br: 0.5000 0.0000 0.0000  2 Zr 2.68

12.
Computed, not measured: SrY2Sc after structural relaxation at the GGA-PBE level of DFT.

Properties
VASP energy	-4.97	eV/atom
polymorph energy (0 for the lowest one)	155.3	meV per atom
DOS(E_F)	1.942	states/eV/atom
energy of formation from the pure elements	0.264	eV per atom

a = 6.2672 Å, b = 6.2672 Å, c = 3.5961 Å
α = 90.00°, β = 90.00°, γ = 109.81°
With the nearest neighbours (Å) after each atom.
Atoms (fractional coordinates):
Sr: 0.0000 0.0000 0.0000  2 Sr 3.60, 2 Sc 3.60, 8 Y 3.61
Y: 0.0000 0.5000 0.5000  4 Y 3.60, 4 Sc 3.61, 4 Sr 3.61
Y: 0.5000 0.0000 0.5000  4 Y 3.60, 4 Sc 3.61, 4 Sr 3.61
Sc: 0.5000 0.5000 0.0000  2 Sc 3.60, 2 Sr 3.60, 8 Y 3.61